# 1
DFT (PBE-GGA) results for a relaxed AcNi2Pd crystal.

Unit cell a=5.4813 b=5.4813 c=5.4813 alpha=46.73 beta=46.73 gamma=46.73
Positions (direct):
Ac 0.0000 0.0000 0.0000
Ni 0.1911 0.1911 0.1911
Ni 0.8089 0.8089 0.8089
Pd 0.5000 0.5000 0.5000

Computed properties:
DFT formation energy, eV/atom: -0.350
DFT total energy, Ha/atom: -0.2045


# 2
DFT (PBE-GGA) results for a relaxed Np2PaOs crystal.

Unit cell a=5.4972 b=5.4972 c=5.4972 alpha=50.07 beta=50.07 gamma=50.07
Positions (direct):
Np 0.1804 0.1804 0.1804
Np 0.8196 0.8196 0.8196
Pa 0.0000 0.0000 0.0000
Os 0.5000 0.5000 0.5000

Computed properties:
DFT formation energy, eV/atom: 0.557
DFT total energy, Ha/atom: -0.4077


# 3
DFT (PBE-GGA) results for a relaxed TiTlCo2Sb crystal.

Unit cell a=4.6801 b=4.6801 c=5.1447 alpha=90.00 beta=90.00 gamma=90.00
Positions (direct):
Ti 0.0000 0.0000 0.0000
Tl 0.5000 0.5000 0.0000
Co 0.0000 0.5000 0.5000
Co 0.5000 0.0000 0.5000
Sb 0.0000 0.0000 0.5000

Computed properties:
DFT total energy, Ha/atom: -0.1785
Formation energy without anion corrections, kcal/mol of atoms: 19.87


# 4
DFT (PBE-GGA) results for a relaxed Pm6TlSn crystal.

Unit cell a=4.9444 b=4.9444 c=9.8689 alpha=90.00 beta=90.00 gamma=90.00
Positions (direct):
Pm 0.0000 0.0000 0.0000
Pm 0.0000 0.0000 0.5000
Pm 0.0000 0.5000 0.2464
Pm 0.0000 0.5000 0.7536
Pm 0.5000 0.0000 0.2464
Pm 0.5000 0.0000 0.7536
Tl 0.5000 0.5000 0.5000
Sn 0.5000 0.5000 0.0000

Computed properties:
DFT formation energy, eV/atom: -0.331
DFT total energy, Ha/atom: -0.1724


# 5
DFT (PBE-GGA) results for a relaxed AcMnTe2 crystal.

Unit cell a=9.8722 b=9.8722 c=9.8722 alpha=24.00 beta=24.00 gamma=24.00
Positions (direct):
Ac 0.0000 0.0000 0.0000
Mn 0.5000 0.5000 0.5000
Te 0.1136 0.1136 0.1136
Te 0.8864 0.8864 0.8864

Computed properties:
DFT total energy, Ha/atom: -0.1898
Formation energy without anion corrections, kcal/mol of atoms: -6.30


# 6
DFT (PBE-GGA) results for a relaxed Nd3Ni8Pt crystal.

Unit cell a=8.8276 b=8.8276 c=8.8276 alpha=33.35 beta=33.35 gamma=33.35
Positions (direct):
Nd 0.0000 0.0000 0.0000
Nd 0.1302 0.1302 0.1302
Nd 0.6115 0.6115 0.6115
Ni 0.0579 0.0579 0.5628
Ni 0.0579 0.5628 0.0579
Ni 0.0658 0.5603 0.5603
Ni 0.3103 0.3103 0.3103
Ni 0.5603 0.0658 0.5603
Ni 0.5603 0.5603 0.0658
Ni 0.5628 0.0579 0.0579
Ni 0.8105 0.8105 0.8105
Pt 0.4917 0.4917 0.4917

Computed properties:
DFT formation energy, eV/atom: -0.333
DFT total energy, Ha/atom: -0.2162


Which of these has the highest DFT total energy? Pm6TlSn


Which of these has the highest DFT total energy? Pm6TlSn


Which value of DFT total energy does entry 1 give? -0.2045 Ha/atom


Among the records above, which one has the highest DFT total energy? Pm6TlSn